# Ti2Sb2H

Ti2Sb2H after structural relaxation (PBE, Alexandria via LeMat-Bulk).

Properties
The size of the total moment comes out at 0.6 μB per formula unit. The value obtained for the energy is -55.60 eV/cell.

The structure in CIF format:
```
data_Ti2Sb2H
_space_group_name_H-M_alt 'P 4/m b m'
_space_group_IT_number 127
_space_group_name_Hall '-P 4 2ab'
_cell_length_a 6.8229
_cell_length_b 6.8229
_cell_length_c 3.9351
_cell_angle_alpha 90.00
_cell_angle_beta 90.00
_cell_angle_gamma 90.00
loop_
_atom_site_label
_atom_site_type_symbol
_atom_site_fract_x
_atom_site_fract_y
_atom_site_fract_z
Ti1 Ti 0.1526 0.3474 0.0000
Sb1 Sb 0.1542 0.6542 0.5000
H1 H 0.0000 0.0000 0.0000
```

---

# TiSbH3

TiSbH3 after structural relaxation (PBE, Alexandria via LeMat-Bulk).

Properties
The size of the total moment comes out at 2.3 μB per formula unit. The value obtained for the energy is -17.67 eV/cell. The calculation puts the energy above the most stable polymorph in this dataset at 783 meV per atom.

The structure in CIF format:
```
data_TiSbH3
_space_group_name_H-M_alt 'P m -3 m'
_space_group_IT_number 221
_space_group_name_Hall '-P 4 2 3'
_cell_length_a 3.9648
_cell_length_b 3.9648
_cell_length_c 3.9648
_cell_angle_alpha 90.00
_cell_angle_beta 90.00
_cell_angle_gamma 90.00
loop_
_atom_site_label
_atom_site_type_symbol
_atom_site_fract_x
_atom_site_fract_y
_atom_site_fract_z
Ti1 Ti 0.0000 0.0000 0.0000
Sb1 Sb 0.5000 0.5000 0.5000
H1 H 0.0000 0.5000 0.5000
```

---

# Ti4Sb2H

Ti4Sb2H after structural relaxation (PBE, Alexandria via LeMat-Bulk).

Properties
The size of the total moment comes out at 0.0 μB per formula unit. The value obtained for the energy is -93.64 eV/cell. The calculation puts the energy above the most stable polymorph in this dataset at 0 meV per atom.

The structure in CIF format:
```
data_Ti4Sb2H
_space_group_name_H-M_alt 'I 4/m m m'
_space_group_IT_number 139
_space_group_name_Hall '-I 4 2'
_cell_length_a 4.0110
_cell_length_b 4.0110
_cell_length_c 14.2995
_cell_angle_alpha 90.00
_cell_angle_beta 90.00
_cell_angle_gamma 90.00
loop_
_atom_site_label
_atom_site_type_symbol
_atom_site_fract_x
_atom_site_fract_y
_atom_site_fract_z
Ti1 Ti 0.0000 0.0000 0.1618
Ti2 Ti 0.0000 0.5000 0.0000
Sb1 Sb 0.0000 0.0000 0.3573
H1 H 0.0000 0.0000 0.0000
```

---

> Which value of size of the total moment does entry 1 give?

0.6 μB per formula unit